[1]
A plane-wave DFT calculation with PBEsol was carried out for a relaxed structure of LiYTi2N.

The space group is P4/mmm (No. 123) and the conventional cell measures 4.703, 4.703 and 4.124 Å, with angles of 90.00, 90.00 and 90.00 degrees. The inequivalent atoms are Li at (0.000, 0.000, 0.000), Y at (0.000, 0.000, 0.500), Ti at (0.000, 0.500, 0.500) and N at (0.500, 0.500, 0.000).

The value obtained for the total energy is -4.44 eV/atom. The size of the total moment is 0.00 μB/f.u.


[2]
A plane-wave DFT calculation with PBEsol was carried out for a relaxed structure of K2Hg.

The space group is Cmc2_1 (No. 36) and the conventional cell measures 4.637, 14.702 and 7.922 Å, with angles of 90.00, 90.00 and 90.00 degrees. The inequivalent atoms are K at (0.000, 0.015, 0.000), K at (0.000, 0.289, 0.793) and Hg at (0.000, 0.384, 0.224).

The size of the total moment is 0.00 μB/f.u. The energy of formation is -0.10 eV/atom. The calculation puts the excess energy over the best structure of this formula in the dataset at 0.11 eV/f.u.


[3]
A plane-wave DFT calculation with PBEsol was carried out for a relaxed structure of KTiAs3.

The space group is Pm-3m (No. 221) and the conventional cell measures 5.087, 5.087 and 5.087 Å, with angles of 90.00, 90.00 and 90.00 degrees. The inequivalent atoms are K at (0.000, 0.000, 0.000), Ti at (0.500, 0.500, 0.500) and As at (0.000, 0.000, 0.500).

The size of the total moment is 1.47 μB/f.u. The energy of formation is 1.65 eV/atom.


[4]
A plane-wave DFT calculation with PBEsol was carried out for a relaxed structure of BaCaAg.

The space group is I4mm (No. 107) and the conventional cell measures 3.877, 3.877 and 13.762 Å, with angles of 90.00, 90.00 and 90.00 degrees. The inequivalent atoms are Ba at (0.000, 0.000, 0.000), Ca at (0.000, 0.000, 0.734) and Ag at (0.000, 0.000, 0.346).

The size of the total moment is 0.00 μB/f.u. The energy of formation is -0.15 eV/atom.


[5]
A plane-wave DFT calculation with PBEsol was carried out for a relaxed structure of In2HgI2.

The space group is P4/mbm (No. 127) and the conventional cell measures 9.444, 9.444 and 4.078 Å, with angles of 90.00, 90.00 and 90.00 degrees. The inequivalent atoms are In at (0.146, 0.354, 0.000), Hg at (0.000, 0.000, 0.500) and I at (0.148, 0.648, 0.500).

The size of the total moment is 0.00 μB/f.u. The calculation puts the excess energy over the best structure of this formula in the dataset at 0.27 eV/f.u.


[6]
A plane-wave DFT calculation with PBEsol was carried out for a relaxed structure of YBi3F15.

The space group is P2_1/m (No. 11) and the conventional cell measures 5.996, 11.332 and 8.734 Å, with angles of 90.00, 93.46 and 90.00 degrees. The inequivalent atoms are Y at (0.150, 0.250, 0.337), Bi at (0.000, 0.000, 0.000), Bi at (0.428, 0.055, 0.688), F at (0.036, 0.750, 0.892), F at (0.059, 0.542, 0.775), F at (0.164, 0.131, 0.534), F at (0.215, 0.750, 0.707), F at (0.225, 0.125, 0.943), F at (0.269, 0.593, 0.089), F at (0.349, 0.581, 0.494), F at (0.364, 0.114, 0.256) and F at (0.500, 0.250, 0.709).

The value obtained for the total energy is -4.96 eV/atom. The size of the total moment is 1.01 μB/f.u.


[7]
A plane-wave DFT calculation with PBEsol was carried out for a relaxed structure of Sr2AgPt.

The space group is Amm2 (No. 38) and the conventional cell measures 4.579, 4.247 and 11.275 Å, with angles of 90.00, 90.00 and 90.00 degrees. The inequivalent atoms are Sr at (0.000, 0.000, 0.000), Sr at (0.500, 0.000, 0.280), Ag at (0.500, 0.000, 0.572) and Pt at (0.000, 0.000, 0.714).

The size of the total moment is 0.00 μB/f.u. The energy of formation is -0.51 eV/atom. The calculation puts the excess energy over the best structure of this formula in the dataset at 0.00 eV/f.u.


[8]
A plane-wave DFT calculation with PBEsol was carried out for a relaxed structure of IrPtRh.

The space group is I4mm (No. 107) and the conventional cell measures 2.712, 2.712 and 11.557 Å, with angles of 90.00, 90.00 and 90.00 degrees. The inequivalent atoms are Ir at (0.000, 0.000, 0.000), Pt at (0.000, 0.000, 0.671) and Rh at (0.000, 0.000, 0.343).

The size of the total moment is 0.00 μB/f.u. The energy of formation is 0.01 eV/atom. The calculation puts the excess energy over the best structure of this formula in the dataset at 0.00 eV/f.u.